Material: Li2YP
Method: DFT, PBE
State: optimized geometry

* energy of formation from the pure elements: -0.6338 eV/atom
* total energy: -4.559 eV per atom
* N(E_F): 0.9 states/eV per cell
* density: 2.845 g cm⁻³

CIF file:
```
data_Li2YP
_cell_length_a 3.9960
_cell_length_b 3.9960
_cell_length_c 4.8885
_cell_angle_alpha 90.00
_cell_angle_beta 90.00
_cell_angle_gamma 90.00
_symmetry_space_group_name_H-M 'P 4/m m m'
_symmetry_Int_Tables_number 123
_symmetry_space_group_name_Hall '-P 4 2'
loop_
_atom_site_label
_atom_site_type_symbol
_atom_site_fract_x
_atom_site_fract_y
_atom_site_fract_z
Li1 Li 0.0000 0.5000 0.0000
Y1 Y 0.0000 0.0000 0.5000
P1 P 0.5000 0.5000 0.5000
```